PdPt2WAu (PBE-GGA, optimized geometry); DFT formation energy = 577 kJ/mol of formula units; crystal system = tetragonal
1.0
4.8278 0.0000 0.0000
0.0000 4.8278 0.0000
0.0000 0.0000 4.8041
Pd Pt W Au
1 2 1 1
direct
0.0000 0.0000 0.0000 Pd
0.0000 0.5000 0.5000 Pt
0.5000 0.0000 0.5000 Pt
0.0000 0.0000 0.5000 W
0.5000 0.5000 0.0000 Au

CuNiRh2 (PBE-GGA, optimized geometry); DFT formation energy = 34 kJ/mol of formula units; crystal system = tetragonal
1.0
3.7606 0.0000 0.0000
0.0000 3.7606 0.0000
0.0000 0.0000 3.6615
Cu Ni Rh
1 1 2
direct
0.0000 0.0000 0.0000 Cu
0.5000 0.5000 0.0000 Ni
0.0000 0.5000 0.5000 Rh
0.5000 0.0000 0.5000 Rh

KCaIr2 (PBE-GGA, optimized geometry); DFT formation energy = 219 kJ/mol of formula units; crystal system = tetragonal; energy above the most stable polymorph in this dataset = 0.363 eV per atom
1.0
4.7569 0.0000 0.0000
0.0000 4.7569 0.0000
0.0000 0.0000 19.9896
K Ca Ir
4 4 8
direct
0.0000 0.0000 0.0000 K
0.0000 0.5000 0.2500 K
0.5000 0.0000 0.7500 K
0.5000 0.5000 0.5000 K
0.0000 0.0000 0.5000 Ca
0.0000 0.5000 0.7500 Ca
0.5000 0.0000 0.2500 Ca
0.5000 0.5000 0.0000 Ca
0.0766 0.2500 0.6250 Ir
0.2500 0.5766 0.8750 Ir
0.2500 0.9234 0.3750 Ir
0.4234 0.2500 0.1250 Ir
0.5766 0.7500 0.1250 Ir
0.7500 0.0766 0.3750 Ir
0.7500 0.4234 0.8750 Ir
0.9234 0.7500 0.6250 Ir

Tb4SiPd3 (PBE-GGA, optimized geometry); E_form (uncorrected) = -6.832 eV/f.u.; crystal system = orthorhombic
1.0
3.8892 0.0000 0.0000
0.0000 4.3626 0.0000
0.0000 0.0000 10.7549
Tb Si Pd
4 1 3
direct
0.0000 0.0000 0.0000 Tb
0.0000 0.5000 0.2784 Tb
0.5000 0.0000 0.4989 Tb
0.5000 0.5000 0.7779 Tb
0.5000 0.0000 0.2179 Si
0.0000 0.0000 0.7254 Pd
0.0000 0.5000 0.5539 Pd
0.5000 0.5000 0.0635 Pd

GdNb2Co (PBE-GGA, optimized geometry); DFT formation energy = 213 kJ/mol of formula units; crystal system = trigonal
1.0
2.9370 0.0000 0.0000
-1.4685 2.5435 0.0000
0.0000 0.0000 30.7001
Gd Nb Co
3 6 3
direct
0.0000 0.0000 0.0000 Gd
0.3333 0.6667 0.6667 Gd
0.6667 0.3333 0.3333 Gd
0.0000 0.0000 0.1000 Nb
0.0000 0.0000 0.9000 Nb
0.3333 0.6667 0.5667 Nb
0.3333 0.6667 0.7667 Nb
0.6667 0.3333 0.2333 Nb
0.6667 0.3333 0.4333 Nb
0.0000 0.0000 0.5000 Co
0.3333 0.6667 0.1667 Co
0.6667 0.3333 0.8333 Co

Pu2Cd2Rh3 (PBE-GGA, optimized geometry); DFT formation energy = -218 kJ/mol of formula units; crystal system = monoclinic
1.0
8.1130 0.0000 0.0000
0.0000 4.6710 0.0000
-2.6956 0.0000 7.5859
Pu Cd Rh
4 4 6
direct
0.1161 0.0000 0.3479 Pu
0.3839 0.5000 0.6521 Pu
0.6161 0.5000 0.3479 Pu
0.8839 0.0000 0.6521 Pu
0.1334 0.5000 0.9017 Cd
0.3666 0.0000 0.0983 Cd
0.6334 0.0000 0.9017 Cd
0.8666 0.5000 0.0983 Cd
0.0000 0.5000 0.5000 Rh
0.2432 0.0000 0.7302 Rh
0.2568 0.5000 0.2698 Rh
0.5000 0.0000 0.5000 Rh
0.7432 0.5000 0.7302 Rh
0.7568 0.0000 0.2698 Rh

TaBPt2 (PBE-GGA, optimized geometry); DFT formation energy = 4 kJ/mol of formula units; crystal system = tetragonal
1.0
5.3449 0.0000 0.0000
0.0000 5.3449 0.0000
0.0000 0.0000 10.1974
Ta B Pt
4 4 8
direct
0.0000 0.0000 0.0000 Ta
0.0000 0.5000 0.2500 Ta
0.5000 0.0000 0.7500 Ta
0.5000 0.5000 0.5000 Ta
0.0000 0.0000 0.5000 B
0.0000 0.5000 0.7500 B
0.5000 0.0000 0.2500 B
0.5000 0.5000 0.0000 B
0.1752 0.2500 0.6250 Pt
0.2500 0.6752 0.8750 Pt
0.2500 0.8248 0.3750 Pt
0.3248 0.2500 0.1250 Pt
0.6752 0.7500 0.1250 Pt
0.7500 0.1752 0.3750 Pt
0.7500 0.3248 0.8750 Pt
0.8248 0.7500 0.6250 Pt

ZrBr2Cl (PBE-GGA, optimized geometry); E_form (uncorrected) = -5.673 eV/f.u.; crystal system = orthorhombic; energy above the most stable polymorph in this dataset = 0.000 eV per atom
1.0
5.0873 0.0000 0.0000
0.0000 15.0666 0.0000
0.0000 0.0000 3.5566
Zr Br Cl
2 4 2
direct
0.0000 0.0000 0.0000 Zr
0.5000 0.5000 0.0000 Zr
0.0000 0.1356 0.5000 Br
0.0000 0.8644 0.5000 Br
0.5000 0.3644 0.5000 Br
0.5000 0.6356 0.5000 Br
0.0000 0.5000 0.0000 Cl
0.5000 0.0000 0.0000 Cl

AgSnClF6 (PBE-GGA, optimized geometry); E_form (uncorrected) = -14.526 eV/f.u.; crystal system = monoclinic
1.0
3.2562 -5.4402 0.0000
3.2562 5.4402 0.0000
-2.0281 0.0000 4.5087
Ag Sn Cl F
1 1 1 6
direct
0.0000 0.0000 0.0000 Ag
0.3717 0.6283 0.0000 Sn
0.7194 0.2806 0.5000 Cl
0.0315 0.6014 0.7492 F
0.1694 0.4598 0.2270 F
0.2598 0.2812 0.7475 F
0.3986 0.9685 0.2508 F
0.5402 0.8306 0.7730 F
0.7188 0.7402 0.2525 F

ZnAs2Br (PBE-GGA, optimized geometry); E_form (uncorrected) = 0.591 eV/f.u.; crystal system = orthorhombic; energy above the most stable polymorph in this dataset = 0.319 eV per atom
1.0
2.8925 0.0000 0.0000
0.0000 3.8138 0.0000
0.0000 0.0000 8.3853
Zn As Br
1 2 1
direct
0.0000 0.0000 0.0000 Zn
0.5000 0.5000 0.1591 As
0.5000 0.5000 0.8409 As
0.0000 0.0000 0.5000 Br

Ce6AlIn3 (PBE-GGA, optimized geometry); DFT formation energy = -134 kJ/mol of formula units; crystal system = trigonal
1.0
5.2815 3.0493 5.7373
-5.2815 3.0493 5.7373
0.0000 -6.0986 5.7373
Ce Al In
12 2 6
direct
0.0664 0.7324 0.7324 Ce
0.1554 0.5128 0.5128 Ce
0.2676 0.2676 0.9336 Ce
0.2676 0.9336 0.2676 Ce
0.4872 0.4872 0.8446 Ce
0.4872 0.8446 0.4872 Ce
0.5128 0.1554 0.5128 Ce
0.5128 0.5128 0.1554 Ce
0.7324 0.0664 0.7324 Ce
0.7324 0.7324 0.0664 Ce
0.8446 0.4872 0.4872 Ce
0.9336 0.2676 0.2676 Ce
0.0000 0.0000 0.0000 Al
0.5000 0.5000 0.5000 Al
0.1211 0.1211 0.6166 In
0.1211 0.6166 0.1211 In
0.3834 0.8789 0.8789 In
0.6166 0.1211 0.1211 In
0.8789 0.3834 0.8789 In
0.8789 0.8789 0.3834 In

BaZn2Br (PBE-GGA, optimized geometry); E_form (uncorrected) = -2.507 eV/f.u.; crystal system = monoclinic; energy above the most stable polymorph in this dataset = 0.000 eV per atom
1.0
7.9852 0.0000 0.0000
0.0000 4.6097 0.0000
-0.0133 0.0000 7.2373
Ba Zn Br
2 4 2
direct
0.0000 0.0000 0.0000 Ba
0.5000 0.5000 0.0000 Ba
0.1665 0.5000 0.6925 Zn
0.3333 0.0000 0.6782 Zn
0.6665 0.0000 0.6925 Zn
0.8333 0.5000 0.6782 Zn
0.3336 0.0000 0.2610 Br
0.8336 0.5000 0.2610 Br